Computed, not measured: a relaxed Cu2SiAu2 crystal at the PBE-GGA level of DFT.

The structure in POSCAR format:
```
Cu2SiAu2
1.0
6.779 0.000 0.000
0.000 6.779 0.000
0.000 0.000 3.476
Si Au Cu
2 4 4
direct
0.000 0.000 0.000 Si
0.500 0.500 0.000 Si
0.342 0.842 0.000 Au
0.842 0.658 0.000 Au
0.658 0.158 0.000 Au
0.158 0.342 0.000 Au
0.141 0.641 0.500 Cu
0.641 0.859 0.500 Cu
0.859 0.359 0.500 Cu
0.359 0.141 0.500 Cu
```

Calculated values
- Formation energy from raw total energies: 0.14 eV per atom
- Energy above the most stable polymorph in this dataset: 0.138 eV/atom
- Symmetry: P4/mbm, No. 127
- Theoretical density: 11.41 g cm⁻³

=====

Computed, not measured: a relaxed MgNiSn6 crystal at the PBE-GGA level of DFT.

The structure in POSCAR format:
```
MgNiSn6
1.0
6.846 1.260 0.000
2.927 5.920 0.000
1.464 2.960 5.479
Mg Ni Sn
1 1 6
direct
0.000 0.000 0.000 Mg
0.500 0.500 0.000 Ni
0.759 0.519 0.565 Sn
0.759 0.085 0.435 Sn
0.241 0.915 0.565 Sn
0.241 0.481 0.435 Sn
0.714 0.710 0.000 Sn
0.286 0.290 0.000 Sn
```

Calculated values
- Formation enthalpy at 0 K: 0.018 eV per atom
- Symmetry: C2/m, No. 12
- Theoretical density: 6.54 g cm⁻³

=====

Computed, not measured: a relaxed FeRu2Pt crystal at the PBE-GGA level of DFT.

The structure in POSCAR format:
```
FeRu2Pt
1.0
0.000 3.055 3.055
3.055 0.000 3.055
3.055 3.055 0.000
Ru Fe Pt
2 1 1
direct
0.250 0.250 0.250 Ru
0.750 0.750 0.750 Ru
0.000 0.000 0.000 Fe
0.500 0.500 0.500 Pt
```

Calculated values
- Formation enthalpy at 0 K: 0.297 eV per atom
- Symmetry: Fm-3m, No. 225
- Theoretical density: 13.20 g cm⁻³

=====

Computed, not measured: a relaxed ZrCrSe2 crystal at the PBE-GGA level of DFT.

The structure in POSCAR format:
```
ZrCrSe2
1.0
-2.067 0.137 -2.747
0.133 -3.452 -0.272
-5.172 -2.201 3.782
Cr Se Zr
1 2 1
direct
0.500 0.750 0.750 Cr
0.000 0.846 0.014 Se
0.000 0.654 0.486 Se
0.500 0.250 0.250 Zr
```

Calculated values
- Formation energy from raw total energies: -0.65 eV per atom
- Energy above the most stable polymorph in this dataset: 0.137 eV/atom
- Symmetry: P2/m, No. 10
- Theoretical density: 6.39 g cm⁻³

=====

Computed, not measured: a relaxed Ho7Co2Ni2 crystal at the PBE-GGA level of DFT.

The structure in POSCAR format:
```
Ho7Co2Ni2
1.0
6.355 -0.003 -1.001
0.003 6.709 0.003
-1.395 -0.002 6.280
Ho Co Ni
7 2 2
direct
0.000 0.262 0.500 Ho
0.500 0.738 0.000 Ho
0.000 0.738 0.500 Ho
0.500 0.262 0.000 Ho
0.000 0.000 0.000 Ho
0.500 0.744 0.500 Ho
0.500 0.256 0.500 Ho
0.702 0.000 0.298 Co
0.298 0.000 0.702 Co
0.828 0.500 0.828 Ni
0.172 0.500 0.172 Ni
```

Calculated values
- Formation enthalpy at 0 K: -0.072 eV per atom
- Symmetry: Cmmm, No. 65
- Theoretical density: 8.93 g cm⁻³

=====

Computed, not measured: a relaxed Sc2Al6Os crystal at the PBE-GGA level of DFT.

The structure in POSCAR format:
```
Sc2Al6Os
1.0
6.077 -0.044 -0.025
0.029 5.499 0.006
0.029 2.745 4.764
Sc Al Os
2 6 1
direct
0.897 0.666 0.666 Sc
0.103 0.334 0.334 Sc
0.318 0.340 0.830 Al
0.317 0.830 0.830 Al
0.318 0.830 0.340 Al
0.682 0.660 0.170 Al
0.683 0.170 0.170 Al
0.682 0.170 0.660 Al
0.000 0.000 0.000 Os
```

Calculated values
- Formation enthalpy at 0 K: -0.394 eV per atom
- Symmetry: C2/m, No. 12
- Theoretical density: 4.61 g cm⁻³

=====

Computed, not measured: a relaxed NaSr3Nb crystal at the PBE-GGA level of DFT.

The structure in POSCAR format:
```
NaSr3Nb
1.0
-0.450 2.224 5.763
-5.806 -2.125 0.367
2.109 -5.375 2.239
Sr Nb Na
3 1 1
direct
0.000 0.500 0.000 Sr
0.000 0.000 0.500 Sr
0.500 0.000 0.000 Sr
0.500 0.500 0.500 Nb
0.000 0.000 0.000 Na
```

Calculated values
- Formation enthalpy at 0 K: 1.142 eV per atom
- Energy above the most stable polymorph in this dataset: 0.390 eV/atom
- Symmetry: Pm-3m, No. 221
- Theoretical density: 2.65 g cm⁻³

=====

Computed, not measured: a relaxed ErTmAlGa crystal at the PBE-GGA level of DFT.

The structure in POSCAR format:
```
ErTmAlGa
1.0
-3.575 1.156 -3.336
-3.052 -3.585 -1.755
-4.834 -0.076 1.369
Tm Al Ga Er
1 1 1 1
direct
0.500 0.500 0.500 Tm
0.750 0.750 0.750 Al
0.250 0.250 0.250 Ga
0.000 0.000 0.000 Er
```

Calculated values
- Formation enthalpy at 0 K: -0.473 eV per atom
- Energy above the most stable polymorph in this dataset: 0.031 eV/atom
- Symmetry: F-43m, No. 216
- Theoretical density: 8.01 g cm⁻³